A plane-wave DFT calculation with PBE was carried out for a geometry-optimized AlPd3W structure.

Lattice parameters (Å, degrees): 4.491 4.491 4.491 90.00 90.00 90.00
Atoms (fractional coordinates):
Al (0.000, 0.000, 0.000)
Pd (0.000, 0.000, 0.500)
Pd (0.000, 0.500, 0.000)
Pd (0.500, 0.000, 0.000)
W (0.500, 0.500, 0.500)

Output
Spin magnetization (μB per cell): 3.41
VASP energy (eV/atom): -5.656
Energy relative to the elements (meV per atom): 799
E above lowest polymorph (eV per atom): 0.000
V (Å³ per cell): 90.6